Record 1
KLaHg: relaxed, GGA-PBEsol.

Values from the calculation:
Space group: F-43m, No. 216
Total magnetization (μB per formula unit): 0.00
Polymorph energy (0 for the lowest one) (kJ/mol of formula units): 146
D(E_F) (states/eV per cell): 5.5

abc: 5.2607 5.2607 5.2607
angles: 60.00 60.00 60.00
With the nearest neighbours (Å) after each atom.
Element x y z (fractional)
Hg 0.0000 0.0000 0.0000  4 La 3.22
La 0.2500 0.2500 0.2500  4 Hg 3.22, 4 K 3.22
K 0.5000 0.5000 0.5000  4 La 3.22


Record 2
KLaHg2: relaxed, GGA-PBEsol.

Values from the calculation:
Space group: R-3m, No. 166
Total magnetization (μB per formula unit): 0.00
Raw total energy (eV/cell): -8.4
D(E_F) (states/eV per cell): 2.4

abc: 3.9819 3.9819 9.9399
angles: 78.45 78.45 60.00
With the nearest neighbours (Å) after each atom.
Element x y z (fractional)
Hg 0.7421 0.7421 0.7736  3 La 3.17, 3 K 3.51
Hg 0.2579 0.2579 0.2264  3 La 3.17, 3 K 3.51
La 0.0000 0.0000 0.0000  6 Hg 3.17
K 0.5000 0.5000 0.5000  6 Hg 3.51


Record 3
K2LaHg: relaxed, GGA-PBEsol.

Values from the calculation:
Space group: Pmmm, No. 47
Total magnetization (μB per formula unit): 0.05
Raw total energy (eV/cell): -7.1
D(E_F) (states/eV per cell): 5.6

abc: 3.5810 5.9533 7.0520
angles: 90.00 90.00 90.00
With the nearest neighbours (Å) after each atom.
Element x y z (fractional)
Hg 0.5000 0.5000 0.5000  2 La 3.53, 2 Hg 3.58, 8 K 3.83
La 0.5000 0.5000 0.0000  2 Hg 3.53, 2 La 3.58
K 0.0000 0.0000 0.2726  3 K 3.21-3.58
K 0.0000 0.0000 0.7274  3 K 3.21-3.58


Record 4
K2LiHg: relaxed, GGA-PBEsol.

Values from the calculation:
Space group: F-43m, No. 216
Total magnetization (μB per formula unit): 0.00
Raw total energy (eV/cell): -4.8
D(E_F) (states/eV per cell): 2.0

abc: 5.7964 5.7964 5.7964
angles: 60.00 60.00 60.00
With the nearest neighbours (Å) after each atom.
Element x y z (fractional)
K 0.0000 0.0000 0.0000  4 K 3.55, 4 Li 3.55
K 0.2500 0.2500 0.2500  4 Hg 3.55, 4 K 3.55
Li 0.7500 0.7500 0.7500  4 K 3.55, 4 Hg 3.55
Hg 0.5000 0.5000 0.5000  4 Li 3.55, 4 K 3.55


Record 5
K3LiHg: relaxed, GGA-PBEsol.

Values from the calculation:
Space group: Pm-3m, No. 221
Total magnetization (μB per formula unit): 0.00
Raw total energy (eV/cell): -5.4
D(E_F) (states/eV per cell): 4.0

abc: 6.5454 6.5454 6.5454
angles: 90.00 90.00 90.00
With the nearest neighbours (Å) after each atom.
Element x y z (fractional)
K 0.5000 0.0000 0.0000  2 Hg 3.27
K 0.0000 0.5000 0.0000  2 Hg 3.27
K 0.0000 0.0000 0.5000  2 Hg 3.27
Li 0.5000 0.5000 0.5000  12 K 4.63
Hg 0.0000 0.0000 0.0000  6 K 3.27


Record 6
K2LiHg: relaxed, GGA-PBEsol.

Values from the calculation:
Space group: P4mm, No. 99
Total magnetization (μB per formula unit): 0.00
Raw total energy (eV/cell): -5.2
D(E_F) (states/eV per cell): 2.2

abc: 3.9064 3.9064 9.8699
angles: 90.00 90.00 90.00
With the nearest neighbours (Å) after each atom.
Element x y z (fractional)
K 0.0000 0.0000 0.9192  1 Li 3.20
K 0.5000 0.5000 0.3165  1 Hg 3.49, 4 Li 3.89
Hg 0.5000 0.5000 0.6697  4 Li 2.86
Li 0.0000 0.0000 0.5945  4 Hg 2.86


Record 7
K2LiHg2: relaxed, GGA-PBEsol.

Values from the calculation:
Space group: P4/mbm, No. 127
Total magnetization (μB per formula unit): 0.00
Raw total energy (eV/cell): -12.3
D(E_F) (states/eV per cell): 4.7

abc: 5.4201 7.7565 7.7565
angles: 90.00 90.00 90.00
With the nearest neighbours (Å) after each atom.
Element x y z (fractional)
Hg 0.0000 0.3647 0.8647  1 Hg 2.97, 2 Li 3.02
Hg 0.0000 0.1353 0.3647  1 Hg 2.97, 2 Li 3.02
Hg 0.0000 0.6353 0.1353  1 Hg 2.97, 2 Li 3.02
Hg 0.0000 0.8647 0.6353  1 Hg 2.97, 2 Li 3.02
Li 0.0000 0.5000 0.5000  4 Hg 3.02
Li 0.0000 0.0000 0.0000  4 Hg 3.02
K 0.5000 0.3266 0.1734  6 Hg 3.43-3.63, 1 K 3.80
K 0.5000 0.1734 0.6734  6 Hg 3.43-3.63, 1 K 3.80
K 0.5000 0.8266 0.3266  6 Hg 3.43-3.63, 1 K 3.80
K 0.5000 0.6734 0.8266  6 Hg 3.43-3.63, 1 K 3.80


Record 8
K2Li2Hg: relaxed, GGA-PBEsol.

Values from the calculation:
Space group: I4/mmm, No. 139
Total magnetization (μB per formula unit): 0.00
Raw total energy (eV/cell): -6.6
D(E_F) (states/eV per cell): 3.0

abc: 4.0693 4.0693 11.1163
angles: 100.55 100.55 90.00
With the nearest neighbours (Å) after each atom.
Element x y z (fractional)
Li 0.7500 0.2500 0.5000  4 Li 2.88
Li 0.2500 0.7500 0.5000  4 Li 2.88
K 0.4002 0.4002 0.8004  4 Hg 3.59, 4 Li 3.81
K 0.5998 0.5998 0.1996  4 Hg 3.59, 4 Li 3.81
Hg 0.0000 0.0000 0.0000  8 K 3.59


Record 9
KLiHg2Pt: relaxed, GGA-PBEsol.

Values from the calculation:
Space group: P4/mmm, No. 123
Total magnetization (μB per formula unit): 0.00
Raw total energy (eV/cell): -8.8
D(E_F) (states/eV per cell): 2.6

abc: 4.7771 4.7771 5.0428
angles: 90.00 90.00 90.00
With the nearest neighbours (Å) after each atom.
Element x y z (fractional)
K 0.0000 0.0000 0.5000  2 Li 2.52
Pt 0.5000 0.5000 0.5000  4 K 3.38, 8 Hg 3.47
Li 0.0000 0.0000 0.0000  4 Hg 2.39, 2 K 2.52
Hg 0.5000 0.0000 0.0000  2 Li 2.39
Hg 0.0000 0.5000 0.0000  2 Li 2.39


Record 10
KMg2Hg2: relaxed, GGA-PBEsol.

Values from the calculation:
Space group: I4/mmm, No. 139
Total magnetization (μB per formula unit): 0.00
Polymorph energy (0 for the lowest one) (kJ/mol of formula units): 0
D(E_F) (states/eV per cell): 2.3

abc: 4.7231 4.7231 7.0187
angles: 109.66 109.66 90.00
With the nearest neighbours (Å) after each atom.
Element x y z (fractional)
Mg 0.7500 0.2500 0.5000  4 Hg 2.88
Mg 0.2500 0.7500 0.5000  4 Hg 2.88
Hg 0.6170 0.6170 0.2340  4 Mg 2.88, 1 Hg 2.89
Hg 0.3830 0.3830 0.7660  4 Mg 2.88, 1 Hg 2.89
K 0.0000 0.0000 0.0000  8 Hg 3.64, 8 Mg 3.89


Record 11
KMg2Hg: relaxed, GGA-PBEsol.

Values from the calculation:
Space group: Pmmm, No. 47
Total magnetization (μB per formula unit): 0.00
Raw total energy (eV/cell): -4.8
D(E_F) (states/eV per cell): 2.0

abc: 3.9853 5.2025 5.4410
angles: 90.00 90.00 90.00
With the nearest neighbours (Å) after each atom.
Element x y z (fractional)
K 0.0000 0.5000 0.5000  4 Hg 3.28, 4 Mg 3.37
Hg 0.5000 0.0000 0.5000  4 K 3.28, 4 Mg 3.37
Mg 0.5000 0.5000 0.0000  4 Mg 3.28, 4 K 3.37
Mg 0.0000 0.0000 0.0000  4 Mg 3.28, 4 Hg 3.37


Record 12
KMgHg2: relaxed, GGA-PBEsol.

Values from the calculation:
Space group: P4/mmm, No. 123
Total magnetization (μB per formula unit): 0.00
Raw total energy (eV/cell): -4.4
D(E_F) (states/eV per cell): 1.8

abc: 3.4747 5.4870 5.4870
angles: 90.00 90.00 90.00
With the nearest neighbours (Å) after each atom.
Element x y z (fractional)
Mg 0.5000 0.0000 0.0000  8 Hg 3.25, 2 Mg 3.47
K 0.5000 0.5000 0.5000  8 Hg 3.25, 2 K 3.47
Hg 0.0000 0.0000 0.5000  4 K 3.25, 4 Mg 3.25, 2 Hg 3.47
Hg 0.0000 0.5000 0.0000  4 K 3.25, 4 Mg 3.25, 2 Hg 3.47


Calculated theoretical density, 6.11; 7.24; 4.61; 3.45; 1.92; 3.15; 4.95; 2.73; 9.27; 5.90; 4.24; 7.37 g/cm³ (same order as the records).
Calculated calculated volume, 102.9; 132.8; 150.3; 137.7; 280.4; 150.6; 326.1; 177.8; 115.1; 137.7; 112.8; 104.6 Å³/cell (same order as the records).